1.
The following is a DFT calculation (GGA-PBE) of an optimized crystal structure of Ba3InH2.

Lattice parameters (Å, degrees): 10.262 13.555 5.929 90.00 90.00 90.00
Space group Cmcm (No. 63)
Asymmetric unit:
Ba 0.000 0.105 0.250 (multiplicity 4)
Ba 0.204 0.383 0.250 (multiplicity 8)
In 0.000 0.297 0.750 (multiplicity 4)
H 0.157 0.000 0.000 (multiplicity 8)

Output
- VASP energy: -69.65 eV per cell

2.
The following is a DFT calculation (GGA-PBE) of an optimized crystal structure of AlCdPCl2.

Lattice parameters (Å, degrees): 5.375 5.375 5.104 90.00 90.00 90.00
Space group P4/mmm (No. 123)
Asymmetric unit:
Al 0.000 0.000 0.000 (multiplicity 1)
Cd 0.500 0.500 0.500 (multiplicity 1)
P 0.500 0.500 0.000 (multiplicity 1)
Cl 0.000 0.500 0.500 (multiplicity 2)

Output
- ΔE_f (raw): 14.8 kJ/mol of atoms
- Offset from the most stable computed form: 237 kJ/mol of formula units

3.
The following is a DFT calculation (GGA-PBE) of an optimized crystal structure of Na3SbRu.

Lattice parameters (Å, degrees): 5.293 5.293 5.293 90.00 90.00 90.00
Space group Pm-3m (No. 221)
Asymmetric unit:
Na 0.000 0.000 0.500 (multiplicity 3)
Sb 0.500 0.500 0.500 (multiplicity 1)
Ru 0.000 0.000 0.000 (multiplicity 1)

Output
- ΔE_f (raw): 102.0 kJ/mol of atoms
- Offset from the most stable computed form: 60 kJ/mol of formula units

4.
The following is a DFT calculation (GGA-PBE) of an optimized crystal structure of YAl4Ni.

Lattice parameters (Å, degrees): 4.415 17.349 5.833 90.00 90.00 90.00
Space group Cmcm (No. 63)
Asymmetric unit:
Y 0.000 0.104 0.250 (multiplicity 4)
Al 0.000 0.149 0.750 (multiplicity 4)
Al 0.000 0.294 0.511 (multiplicity 8)
Al 0.000 0.500 0.000 (multiplicity 4)
Ni 0.000 0.399 0.250 (multiplicity 4)

Output
- ΔH_f (0 K): -0.304 eV per atom

5.
The following is a DFT calculation (GGA-PBE) of an optimized crystal structure of PrHo3Al4.

Lattice parameters (Å, degrees): 10.238 7.297 5.119 90.00 90.00 90.00
Space group Pmma (No. 51)
Asymmetric unit:
Pr 0.000 0.000 0.000 (multiplicity 2)
Ho 0.000 0.500 0.000 (multiplicity 2)
Ho 0.250 0.000 0.499 (multiplicity 2)
Ho 0.250 0.500 0.499 (multiplicity 2)
Al 0.000 0.260 0.500 (multiplicity 4)
Al 0.250 0.260 0.999 (multiplicity 4)

Output
- ΔH_f (0 K): -0.376 eV per atom

6.
The following is a DFT calculation (GGA-PBE) of an optimized crystal structure of Ac2HfI.

Lattice parameters (Å, degrees): 3.7122 3.7122 36.4948 90.00 90.00 120.00
Space group R-3m (No. 166, hexagonal axes)
Asymmetric unit:
Ac 0.0000 0.0000 0.0899 (multiplicity 6)
Hf 0.0000 0.0000 0.0000 (multiplicity 3)
I 0.0000 0.0000 0.5000 (multiplicity 3)

Output
- ΔE_f (raw): 20.5 kJ/mol of atoms

7.
The following is a DFT calculation (GGA-PBE) of an optimized crystal structure of HfCCl3.

Lattice parameters (Å, degrees): 4.408 4.408 4.408 90.00 90.00 90.00
Space group Pm-3m (No. 221)
Asymmetric unit:
Hf 0.000 0.000 0.000 (multiplicity 1)
C 0.500 0.500 0.500 (multiplicity 1)
Cl 0.000 0.500 0.500 (multiplicity 3)

Output
- ΔE_f (raw): 103.0 kJ/mol of atoms
- Offset from the most stable computed form: 376 kJ/mol of formula units

8.
The following is a DFT calculation (GGA-PBE) of an optimized crystal structure of ThCuPt.

Lattice parameters (Å, degrees): 8.697 4.003 7.357 90.00 91.26 90.00
Space group C2/m (No. 12)
Asymmetric unit:
Th 0.040 0.000 0.254 (multiplicity 4)
Cu 0.157 0.500 0.969 (multiplicity 4)
Pt 0.153 0.500 0.567 (multiplicity 4)

Output
- ΔH_f (0 K): -0.627 eV per atom
- Offset from the most stable computed form: 45 kJ/mol of formula units

9.
The following is a DFT calculation (GGA-PBE) of an optimized crystal structure of DyPuBiAu.

Lattice parameters (Å, degrees): 7.511 7.511 7.511 90.00 90.00 90.00
Space group F-43m (No. 216)
Asymmetric unit:
Dy 0.000 0.000 0.000 (multiplicity 4)
Pu 0.000 0.000 0.500 (multiplicity 4)
Bi 0.250 0.250 0.250 (multiplicity 4)
Au 0.250 0.250 0.750 (multiplicity 4)

Output
- ΔH_f (0 K): -0.514 eV per atom

10.
The following is a DFT calculation (GGA-PBE) of an optimized crystal structure of TlMoIr2.

Lattice parameters (Å, degrees): 7.346 7.346 5.617 90.00 90.00 90.00
Space group I-42d (No. 122)
Asymmetric unit:
Tl 0.000 0.000 0.000 (multiplicity 4)
Mo 0.000 0.000 0.500 (multiplicity 4)
Ir 0.207 0.250 0.625 (multiplicity 8)

Output
- ΔH_f (0 K): 0.665 eV per atom
- Offset from the most stable computed form: 223 kJ/mol of formula units

11.
The following is a DFT calculation (GGA-PBE) of an optimized crystal structure of B8O.

Lattice parameters (Å, degrees): 5.137 5.319 7.359 90.00 92.40 90.00
Space group Pm (No. 6)
Asymmetric unit:
B 0.000 0.000 0.000 (multiplicity 1)
B 0.001 0.260 0.846 (multiplicity 2)
B 0.270 0.000 0.581 (multiplicity 1)
B 0.285 0.262 0.722 (multiplicity 2)
B 0.306 0.165 0.955 (multiplicity 2)
B 0.321 0.500 0.279 (multiplicity 1)
B 0.476 0.000 0.786 (multiplicity 1)
B 0.484 0.331 0.111 (multiplicity 2)
B 0.516 0.235 0.340 (multiplicity 2)
B 0.531 0.500 0.481 (multiplicity 1)
B 0.773 0.500 0.077 (multiplicity 1)
B 0.797 0.220 0.207 (multiplicity 2)
B 0.805 0.000 0.784 (multiplicity 1)
B 0.825 0.330 0.443 (multiplicity 2)
B 0.978 0.166 0.614 (multiplicity 2)
B 0.991 0.500 0.275 (multiplicity 1)
O 0.395 0.000 0.403 (multiplicity 1)
O 0.407 0.500 0.662 (multiplicity 1)
O 0.886 0.500 0.899 (multiplicity 1)

Output
- ΔE_f (raw): -50.8 kJ/mol of atoms
- Offset from the most stable computed form: 0 kJ/mol of formula units